The following is a PBE calculation of a relaxed structure of Th2TiSn8, from the Alexandria database.

```
11
Lattice="-0.025 -0.486 4.775 4.682 -1.055 -0.083 2.743 12.079 1.244" Properties=species:S:1:pos:R:3 pbc="T T T"
Th 0.844 3.715 0.383
Sn 2.680 0.965 0.112
Sn 4.745 10.059 1.049
Ti 0.000 0.000 0.000
Sn 0.326 1.249 2.541
Th 1.899 8.364 0.861
Sn 3.712 5.512 0.580
Sn 2.391 10.344 3.478
Sn 3.190 3.024 2.737
Sn 1.359 5.796 3.009
Sn 4.210 7.514 3.199
```

Calculated values
DOS(E_F): 6.6 states/eV/f.u.
Calculated volume: 26.1 A^3/atom
Space group: P4/mmm (123)
Energy of formation: -0.368 eV per atom
E: -5.3457 eV/atom